Record 1
Below is a relaxed BaTmSi crystal, with properties calculated at the PBE level.

abc: 5.205 5.205 5.205
angles: 60.00 60.00 60.00
Element x y z (fractional)
Tm: 0.750 0.750 0.750
Si: 0.000 0.000 0.000
Ba: 0.250 0.250 0.250

Values from the calculation:
SG: No. 216
Crystal system: cubic


Record 2
Below is a relaxed BaTmSi crystal, with properties calculated at the PBE level.

abc: 5.232 5.232 5.232
angles: 60.00 60.00 60.00
Element x y z (fractional)
Ba: 0.000 0.000 0.000
Si: 0.250 0.250 0.250
Tm: 0.750 0.750 0.750

Values from the calculation:
SG: No. 216
Crystal system: cubic


Record 3
Below is a relaxed BaUSi crystal, with properties calculated at the PBE level.

abc: 5.194 5.194 5.194
angles: 60.00 60.00 60.00
Element x y z (fractional)
Si: 0.000 0.000 0.000
Ba: 0.250 0.250 0.250
U: 0.750 0.750 0.750

Values from the calculation:
SG: No. 216
Crystal system: cubic


Record 4
Below is a relaxed BaUSi crystal, with properties calculated at the PBE level.

abc: 5.098 5.098 5.098
angles: 60.00 60.00 60.00
Element x y z (fractional)
Si: 0.250 0.250 0.250
Ba: 0.000 0.000 0.000
U: 0.750 0.750 0.750

Values from the calculation:
SG: No. 216
Crystal system: cubic


Record 5
Below is a relaxed BaZnSi crystal, with properties calculated at the PBE level.

abc: 5.380 5.380 6.683
angles: 90.00 90.00 120.00
Element x y z (fractional)
Si: 0.667 0.333 0.750
Ba: 0.667 0.333 0.250
Si: 0.333 0.667 0.250
Ba: 0.333 0.667 0.750
Zn: 0.000 0.000 0.500
Zn: 0.000 0.000 0.000

Values from the calculation:
SG: No. 194
Crystal system: hexagonal


Record 6
Below is a relaxed BaZnSi crystal, with properties calculated at the PBE level.

abc: 4.382 4.382 9.823
angles: 90.00 90.00 120.00
Element x y z (fractional)
Zn: 0.667 0.333 0.750
Zn: 0.333 0.667 0.250
Si: 0.333 0.667 0.750
Si: 0.667 0.333 0.250
Ba: 0.000 0.000 0.500
Ba: 0.000 0.000 0.000

Values from the calculation:
SG: No. 194
Crystal system: hexagonal


Number 1: electronic total energy -4.0368 eV/atom. Number 2: electronic total energy -3.2394 eV/atom. Number 3: electronic total energy -5.6249 eV/atom. Number 4: electronic total energy -4.9631 eV/atom. Number 5: electronic total energy -2.7213 eV/atom. Number 6: electronic total energy -3.2464 eV/atom.